{
  "formula": "PSN2F",
  "functional": "meta-GGA SCAN",
  "state": "single point on PBEsol structure",
  "mass_density_kg_m3": 2536,
  "e_form_raw_ev_per_atom": 2.25,
  "magmom_total_mub_per_cell": 4.07,
  "lattice": [[3.5388, 0.0000, 0.0000], [0.0000, 3.5388, 0.0000], [0.0000, 0.0000, 5.7546]],
  "species": ["P", "N", "N", "F", "S"],
  "fractional_positions": [[0.5000, 0.5000, 0.5000], [0.5000, 0.0000, 0.0000], [0.0000, 0.5000, 0.0000], [0.0000, 0.0000, 0.0000], [0.0000, 0.0000, 0.5000]]
}